Entry from Alexandria: a relaxed structure of Pt4Rh3 (GGA-PBE).

Calculated values
The calculation puts the energy above the most stable polymorph in this dataset at 78 meV per atom. Its space group is I4/mmm (139). The calculation puts the formation enthalpy at 0 K at 0.052 eV per atom. The magnetization is 0.000 Bohr magnetons per cell.

Unit cell a=3.3514 b=9.8082 c=3.3514 alpha=80.16 beta=90.00 gamma=99.84
Fractional coordinates of all 7 atoms:
Pt 0.5712 0.1423 0.4288
Pt 0.1444 0.2888 0.8556
Pt 0.8556 0.7112 0.1444
Pt 0.4288 0.8577 0.5712
Rh 0.2843 0.5686 0.7157
Rh 0.0000 0.0000 0.0000
Rh 0.7157 0.4314 0.2843

***

Entry from Alexandria: a relaxed structure of SrNd2Co (GGA-PBE).

Calculated values
The calculation puts the energy above the most stable polymorph in this dataset at 81 meV per atom. Its space group is P4/mmm (123). The calculation puts the formation enthalpy at 0 K at 0.087 eV per atom. The magnetization is 0.497 Bohr magnetons per cell.

Unit cell a=3.5656 b=3.5656 c=10.0509 alpha=90.00 beta=90.00 gamma=90.00
Last column: magnetic moment on the atom in μB.
Fractional coordinates of all 4 atoms:
Nd 0.0000 0.0000 0.8380  -0.09
Nd 0.0000 0.0000 0.1620  -0.09
Sr 0.5000 0.5000 0.5000  -0.01
Co 0.5000 0.5000 0.0000  0.86

***

Entry from Alexandria: a relaxed structure of HfSc3Ni (GGA-PBE).

Calculated values
The calculation puts the energy above the most stable polymorph in this dataset at 0 meV per atom. Its space group is Pm-3m (221). The calculation puts the formation enthalpy at 0 K at 0.147 eV per atom. The magnetization is 0.002 Bohr magnetons per cell.

Unit cell a=4.8550 b=4.8550 c=4.8550 alpha=90.00 beta=90.00 gamma=90.00
Fractional coordinates of all 5 atoms:
Sc 0.0000 0.5000 0.0000
Sc 0.5000 0.0000 0.0000
Ni 0.0000 0.0000 0.0000
Sc 0.0000 0.0000 0.5000
Hf 0.5000 0.5000 0.5000